A relaxed LiMnAlO4 crystal, computed with PBE with a Hubbard U.

Lattice parameters (Å, degrees): 2.8717 10.0686 9.3449 90.00 90.00 90.00
Each line ends with the local moment (μB).
Element x y z (fractional)
Mn 0.7500 0.3485 0.2258  3.16
Mn 0.2500 0.8485 0.2742  3.16
Mn 0.2500 0.6515 0.7742  3.16
Mn 0.7500 0.1515 0.7258  3.16
Li 0.7500 0.1242 0.4230  0.00
Li 0.2500 0.6242 0.0770  0.00
Li 0.2500 0.8758 0.5770  0.00
Li 0.7500 0.3758 0.9230  0.00
Al 0.7500 0.8736 0.9980  0.01
Al 0.2500 0.3736 0.5020  0.01
Al 0.7500 0.6264 0.4980  0.01
Al 0.2500 0.1264 0.0020  0.01
O 0.2500 0.7150 0.4170  -0.03
O 0.2500 0.9633 0.1039  -0.04
O 0.7500 0.9367 0.3694  -0.07
O 0.7500 0.7419 0.6649  -0.06
O 0.7500 0.0367 0.8961  -0.04
O 0.7500 0.2850 0.5830  -0.03
O 0.7500 0.4633 0.3961  -0.04
O 0.2500 0.0633 0.6306  -0.07
O 0.7500 0.2150 0.0830  -0.03
O 0.7500 0.5633 0.8694  -0.07
O 0.7500 0.7581 0.1649  -0.06
O 0.2500 0.7850 0.9170  -0.03
O 0.2500 0.5367 0.6039  -0.04
O 0.2500 0.2419 0.8351  -0.06
O 0.2500 0.4367 0.1306  -0.07
O 0.2500 0.2581 0.3351  -0.06

Calculated values
Theoretical density, g/cm³: 3.758
Energy relative to the lowest polymorph listed for this composition, kcal/mol of atoms: 0.00
Fermi-level density of states, states/eV/atom: 0.000